## Sr5GePd2 (PBE)

Data for a geometry-optimized Sr5GePd2 structure.

**Energy of formation**: -50.3 kJ per mole of atoms
**Spin magnetization**: 0.00 μB per formula unit
**E**: -3.448 eV per atom
**SG**: No. 140

Geometry as POSCAR:
```
Sr5GePd2
1.0
-1.1240 4.6320 -6.7070
-2.0628 -6.7118 -4.2895
-5.7115 2.0547 7.4234
Sr Ge Pd
10 2 4
direct
0.5318 0.6870 0.7189 Sr
0.8130 0.9682 0.2811 Sr
0.0000 0.0000 0.0000 Sr
0.5000 0.5000 0.0000 Sr
0.1870 0.0318 0.7189 Sr
0.6870 0.1870 0.7189 Sr
0.0318 0.5318 0.7189 Sr
0.3130 0.8130 0.2811 Sr
0.9682 0.4682 0.2811 Sr
0.4682 0.3130 0.2811 Sr
0.7500 0.7500 0.5000 Ge
0.2500 0.2500 0.5000 Ge
0.1202 0.3798 0.0000 Pd
0.6202 0.1202 0.0000 Pd
0.3798 0.8798 0.0000 Pd
0.8798 0.6202 0.0000 Pd
```


## Zr2CuS (PBE)

Data for a geometry-optimized Zr2CuS structure.

**Spin magnetization**: 0.00 μB per formula unit
**E**: -6.791 eV per atom
**SG**: No. 122
**Uncorrected formation energy**: -0.461 eV per atom

Geometry as POSCAR:
```
Zr2CuS
1.0
-0.1833 7.0031 -0.5743
-5.5297 -0.4982 -4.3105
-4.7409 3.4000 -0.0421
S Cu Zr
2 2 4
direct
0.5000 0.5000 0.0000 S
0.2500 0.7500 0.5000 S
0.0000 0.0000 0.0000 Cu
0.7500 0.2500 0.5000 Cu
0.6062 0.1250 0.2500 Zr
0.1438 0.6250 0.2500 Zr
0.3750 0.3938 0.7500 Zr
0.8750 0.8562 0.7500 Zr
```


## BeSb2As (PBE)

Data for a geometry-optimized BeSb2As structure.

**Spin magnetization**: 0.00 μB per formula unit
**E**: -3.524 eV per atom
**SG**: No. 216
**Uncorrected formation energy**: 0.631 eV per atom
**Energy above the lowest structure with this stoichiometry**: 474 meV per atom

Geometry as POSCAR:
```
BeSb2As
1.0
4.9579 0.0000 0.0000
2.4790 4.2937 0.0000
2.4790 1.4312 4.0481
Sb As Be
2 1 1
direct
0.0000 0.0000 0.0000 Sb
0.7500 0.7500 0.7500 Sb
0.5000 0.5000 0.5000 As
0.2500 0.2500 0.2500 Be
```


## SnBiF2 (PBE)

Data for a geometry-optimized SnBiF2 structure.

**Spin magnetization**: 0.00 μB per formula unit
**E**: -3.916 eV per atom
**SG**: No. 225
**Uncorrected formation energy**: -1.009 eV per atom
**Energy above the lowest structure with this stoichiometry**: 371 meV per atom

Geometry as POSCAR:
```
SnBiF2
1.0
0.1804 -4.6970 0.4408
-0.0449 -1.9719 4.2894
-3.8047 -2.3814 1.4636
F Bi Sn
2 1 1
direct
0.2500 0.2500 0.2500 F
0.7500 0.7500 0.7500 F
0.5000 0.5000 0.5000 Bi
0.0000 0.0000 0.0000 Sn
```


Question: Look up the spin magnetization of the first one.
Answer: 0.00 μB per formula unit


Question: Among the records above, which one has the highest E?
Answer: Sr5GePd2


Question: Which value of spin magnetization does entry 1 give?
Answer: 0.00 μB per formula unit